No. 1
VASP calculation (GGA-PBE) on a geometry-optimized ThZn11Cu structure.

Summary:
Space group = C2/m
Density of states at the Fermi level = 2.395 states/eV per cell
Calculated volume = 208 Å³ per cell
ΔH_f (0 K) = -2.25 eV per formula unit

POSCAR file:
```
ThZn11Cu
1.0
4.850 0.012 2.021
2.387 6.292 0.995
0.004 0.006 6.822
Zn Th Cu
11 1 1
direct
0.500 0.000 0.500 Zn
0.367 0.642 0.649 Zn
0.000 0.500 0.000 Zn
0.000 0.000 0.500 Zn
0.633 0.358 0.351 Zn
0.282 0.223 0.219 Zn
0.016 0.642 0.351 Zn
0.718 0.777 0.781 Zn
0.984 0.358 0.649 Zn
0.501 0.223 0.781 Zn
0.499 0.777 0.219 Zn
0.000 0.000 0.000 Th
0.500 0.500 0.000 Cu
```


No. 2
VASP calculation (GGA-PBE) on a geometry-optimized K2YTe structure.

Summary:
Space group = P4/mmm
Density of states at the Fermi level = 4.175 states/eV per cell
Formation energy (no corrections) = -0.046 eV per atom
Calculated volume = 160 Å³ per cell

POSCAR file:
```
K2YTe
1.0
-0.760 -0.742 -3.482
0.971 -3.469 0.524
-11.371 -2.718 3.063
Te K Y
1 2 1
direct
0.500 0.500 0.250 Te
0.000 0.000 0.449 K
0.000 0.000 0.051 K
0.500 0.500 0.750 Y
```


No. 3
VASP calculation (GGA-PBE) on a geometry-optimized Ac2La5Pm5 structure.

Summary:
Space group = C2/m
Density of states at the Fermi level = 22.391 states/eV per cell
Calculated volume = 446 Å³ per cell
ΔH_f (0 K) = 0.31 eV per formula unit

POSCAR file:
```
Ac2La5Pm5
1.0
5.161 0.000 1.103
2.277 7.833 1.971
0.301 0.666 11.218
Ac La Pm
2 5 5
direct
0.083 0.586 0.249 Ac
0.917 0.414 0.751 Ac
0.246 0.756 0.751 La
0.832 0.835 0.501 La
0.168 0.165 0.499 La
0.000 0.000 0.000 La
0.754 0.244 0.249 La
0.500 0.500 0.500 Pm
0.585 0.079 0.751 Pm
0.333 0.332 0.002 Pm
0.415 0.921 0.249 Pm
0.667 0.668 0.998 Pm
```


No. 4
VASP calculation (GGA-PBE) on a geometry-optimized K3Dy3MnSe8 structure.

Summary:
Space group = R-3m
Density of states at the Fermi level = 0.425 states/eV per cell
Formation energy (no corrections) = -1.437 eV per atom
Calculated volume = 453 Å³ per cell

POSCAR file:
```
K3Dy3MnSe8
1.0
8.167 0.000 0.000
-4.084 7.072 -0.032
0.000 -4.680 7.857
Se Dy K Mn
8 3 3 1
direct
0.786 0.025 0.311 Se
0.735 0.471 0.706 Se
0.265 0.529 0.294 Se
0.214 0.427 0.689 Se
0.786 0.573 0.311 Se
0.761 0.975 0.689 Se
0.214 0.975 0.689 Se
0.239 0.025 0.311 Se
0.500 0.500 0.500 Dy
0.500 0.000 0.500 Dy
0.000 0.500 0.500 Dy
0.000 0.000 0.000 K
0.500 0.500 0.000 K
0.000 0.500 0.000 K
0.000 0.000 0.500 Mn
```


No. 5
VASP calculation (GGA-PBE) on a geometry-optimized Mn3AgAu structure.

Summary:
Space group = Pm-3m
Density of states at the Fermi level = 3.165 states/eV per cell
Calculated volume = 121 Å³ per cell
ΔH_f (0 K) = 4.81 eV per formula unit
ΔE to the lowest computed polymorph = 0 meV/atom

POSCAR file:
```
Mn3AgAu
1.0
4.948 0.000 0.000
0.000 4.948 0.000
0.000 0.000 4.948
Au Mn Ag
1 3 1
direct
0.000 0.000 0.000 Au
0.500 0.000 0.000 Mn
0.000 0.500 0.000 Mn
0.000 0.000 0.500 Mn
0.500 0.500 0.500 Ag
```


No. 6
VASP calculation (GGA-PBE) on a geometry-optimized La8Tb4Er structure.

Summary:
Space group = R-3m
Density of states at the Fermi level = 23.556 states/eV per cell
Calculated volume = 505 Å³ per cell
ΔH_f (0 K) = 5.49 eV per formula unit

POSCAR file:
```
La8Tb4Er
1.0
9.981 -0.001 -5.385
-6.443 9.333 -0.001
-2.461 -1.698 7.381
Tb La Er
4 8 1
direct
0.000 0.500 0.000 Tb
0.500 0.500 0.000 Tb
0.500 0.000 0.000 Tb
0.000 0.000 0.000 Tb
0.991 0.236 0.227 La
0.472 0.236 0.227 La
0.009 0.764 0.773 La
0.009 0.246 0.773 La
0.528 0.764 0.773 La
0.991 0.754 0.227 La
0.474 0.237 0.711 La
0.526 0.763 0.289 La
0.000 0.500 0.500 Er
```


No. 7
VASP calculation (GGA-PBE) on a geometry-optimized CuAg2I3 structure.

Summary:
Space group = Imm2
Formation energy (no corrections) = -0.212 eV per atom
Calculated volume = 201 Å³ per cell
ΔE to the lowest computed polymorph = 2 meV/atom

POSCAR file:
```
CuAg2I3
1.0
-3.651 2.413 1.056
-0.663 1.730 -6.248
-1.782 -7.549 1.498
Cu Ag I
1 2 3
direct
0.500 0.248 0.000 Cu
0.837 0.590 0.674 Ag
0.163 0.915 0.326 Ag
0.000 0.029 0.000 I
0.658 0.638 0.315 I
0.342 0.323 0.685 I
```


No. 8
VASP calculation (GGA-PBE) on a geometry-optimized CoHPdW2 structure.

Summary:
Space group = P4/mmm
Density of states at the Fermi level = 4.000 states/eV per cell
Electronic total energy = -8.138 eV/atom
Calculated volume = 60 Å³ per cell

POSCAR file:
```
CoHPdW2
1.0
3.925 0.000 0.000
0.000 3.925 0.000
0.000 0.000 3.901
W H Co Pd
2 1 1 1
direct
0.000 0.500 0.000 W
0.500 0.000 0.000 W
0.000 0.000 0.000 H
0.000 0.000 0.500 Co
0.500 0.500 0.500 Pd
```


No. 9
VASP calculation (GGA-PBE) on a geometry-optimized Ca2YBr structure.

Summary:
Space group = C2/m
Density of states at the Fermi level = 3.519 states/eV per cell
Formation energy (no corrections) = -0.298 eV per atom
Calculated volume = 137 Å³ per cell
ΔE to the lowest computed polymorph = 343 meV/atom

POSCAR file:
```
Ca2YBr
1.0
6.251 -0.013 -0.017
-2.276 5.822 -0.017
0.014 0.021 3.760
Ca Y Br
2 1 1
direct
0.500 0.500 0.000 Ca
0.000 0.000 0.000 Ca
0.500 0.000 0.500 Y
0.000 0.500 0.500 Br
```


No. 10
VASP calculation (GGA-PBE) on a geometry-optimized La2MoW structure.

Summary:
Space group = R-3m
Density of states at the Fermi level = 7.423 states/eV per cell
Calculated volume = 90 Å³ per cell
ΔH_f (0 K) = 4.18 eV per formula unit
ΔE to the lowest computed polymorph = 754 meV/atom

POSCAR file:
```
La2MoW
1.0
-8.558 6.916 2.545
-9.269 4.656 4.466
-7.279 6.807 5.313
W Mo La
1 1 2
direct
0.750 0.750 0.750 W
0.250 0.250 0.250 Mo
0.000 0.000 0.000 La
0.500 0.500 0.500 La
```


No. 11
VASP calculation (GGA-PBE) on a geometry-optimized Cd2Ag6Au structure.

Summary:
Space group = C2/m
Density of states at the Fermi level = 1.747 states/eV per cell
Calculated volume = 171 Å³ per cell
ΔH_f (0 K) = 0.18 eV per formula unit
ΔE to the lowest computed polymorph = 73 meV/atom

POSCAR file:
```
Cd2Ag6Au
1.0
-0.540 -2.760 0.568
0.433 -1.722 -7.953
7.085 0.162 4.526
Ag Cd Au
6 2 1
direct
0.991 0.985 0.326 Ag
0.500 0.321 0.000 Ag
0.500 0.679 0.000 Ag
0.009 0.015 0.674 Ag
0.009 0.659 0.674 Ag
0.991 0.341 0.326 Ag
0.467 0.679 0.358 Cd
0.533 0.321 0.642 Cd
0.000 0.000 0.000 Au
```


No. 12
VASP calculation (GGA-PBE) on a geometry-optimized Pr6Sn3Te structure.

Summary:
Space group = Cmc2_1
Density of states at the Fermi level = 19.434 states/eV per cell
Formation energy (no corrections) = -0.628 eV per atom
Calculated volume = 718 Å³ per cell

POSCAR file:
```
Pr6Sn3Te
1.0
-6.197 3.246 3.622
-4.628 -8.507 -0.294
4.791 -0.249 8.418
Pr Sn Te
12 6 2
direct
0.641 0.258 0.742 Pr
0.141 0.742 0.258 Pr
0.732 0.549 0.097 Pr
0.755 0.000 0.000 Pr
0.649 0.637 0.723 Pr
0.232 0.451 0.903 Pr
0.149 0.363 0.277 Pr
0.255 0.000 0.000 Pr
0.732 0.903 0.451 Pr
0.232 0.097 0.549 Pr
0.149 0.723 0.637 Pr
0.649 0.277 0.363 Pr
0.485 0.934 0.717 Sn
0.354 0.420 0.580 Sn
0.854 0.580 0.420 Sn
0.985 0.066 0.283 Sn
0.985 0.717 0.934 Sn
0.485 0.283 0.066 Sn
0.004 0.167 0.833 Te
0.504 0.833 0.167 Te
```


No. 13
VASP calculation (GGA-PBE) on a geometry-optimized Ta2Mn2Cu structure.

Summary:
Space group = P4/mbm
Density of states at the Fermi level = 10.020 states/eV per cell
Calculated volume = 146 Å³ per cell
ΔH_f (0 K) = 0.96 eV per formula unit

POSCAR file:
```
Ta2Mn2Cu
1.0
-3.898 -2.166 -5.147
-2.466 -4.964 3.956
-2.318 1.910 0.952
Ta Mn Cu
4 4 2
direct
0.668 0.832 0.500 Ta
0.332 0.168 0.500 Ta
0.168 0.668 0.500 Ta
0.832 0.332 0.500 Ta
0.634 0.134 0.000 Mn
0.866 0.634 0.000 Mn
0.134 0.366 0.000 Mn
0.366 0.866 0.000 Mn
0.500 0.500 0.000 Cu
0.000 0.000 0.000 Cu
```


No. 14
VASP calculation (GGA-PBE) on a geometry-optimized S2Cl3O3 structure.

Summary:
Space group = Cmcm
Density of states at the Fermi level = 1.706 states/eV per cell
Formation energy (no corrections) = -0.378 eV per atom
Calculated volume = 465 Å³ per cell

POSCAR file:
```
S2Cl3O3
1.0
4.858 0.000 0.000
-2.429 7.557 0.000
0.000 0.000 12.673
S Cl O
4 6 6
direct
0.334 0.669 0.374 S
0.666 0.331 0.626 S
0.666 0.331 0.874 S
0.334 0.669 0.126 S
0.787 0.574 0.385 Cl
0.611 0.222 0.250 Cl
0.213 0.426 0.885 Cl
0.787 0.574 0.115 Cl
0.213 0.426 0.615 Cl
0.389 0.778 0.750 Cl
0.588 0.176 0.562 O
0.376 0.753 0.250 O
0.588 0.176 0.938 O
0.624 0.247 0.750 O
0.412 0.824 0.438 O
0.412 0.824 0.062 O
```


No. 15
VASP calculation (GGA-PBE) on a geometry-optimized Al2FeBr structure.

Summary:
Space group = I-4m2
Density of states at the Fermi level = 2.211 states/eV per cell
Formation energy (no corrections) = 0.581 eV per atom
Calculated volume = 77 Å³ per cell
ΔE to the lowest computed polymorph = 658 meV/atom

POSCAR file:
```
Al2FeBr
1.0
-2.800 -4.483 2.587
0.989 -1.879 5.488
-0.986 4.898 -3.109
Br Al Fe
1 2 1
direct
0.500 0.500 0.000 Br
0.000 0.000 0.000 Al
0.750 0.250 0.500 Al
0.250 0.750 0.500 Fe
```


No. 16
VASP calculation (GGA-PBE) on a geometry-optimized TbGdGe structure.

Summary:
Space group = P3m1
Density of states at the Fermi level = 2.616 states/eV per cell
Calculated volume = 81 Å³ per cell
ΔH_f (0 K) = -1.15 eV per formula unit
ΔE to the lowest computed polymorph = 166 meV/atom

POSCAR file:
```
TbGdGe
1.0
-1.810 -2.283 -2.960
4.179 -0.463 -2.198
-1.329 -3.178 3.263
Tb Ge Gd
1 1 1
direct
0.245 0.667 0.333 Tb
0.038 0.000 0.000 Ge
0.717 0.333 0.667 Gd
```


No. 17
VASP calculation (GGA-PBE) on a geometry-optimized LiCdPt2 structure.

Summary:
Space group = C2/m
Density of states at the Fermi level = 1.299 states/eV per cell
Calculated volume = 64 Å³ per cell
ΔH_f (0 K) = -1.61 eV per formula unit

POSCAR file:
```
LiCdPt2
1.0
4.870 -0.003 0.034
4.020 2.750 0.034
0.879 0.272 4.752
Cd Pt Li
1 2 1
direct
0.250 0.250 0.250 Cd
0.497 0.497 0.508 Pt
0.003 0.003 0.992 Pt
0.750 0.750 0.750 Li
```


No. 18
VASP calculation (GGA-PBE) on a geometry-optimized MoCBr2 structure.

Summary:
Space group = I-42d
Density of states at the Fermi level = 4.124 states/eV per cell
Formation energy (no corrections) = 1.999 eV per atom
Calculated volume = 173 Å³ per cell
ΔE to the lowest computed polymorph = 162 meV/atom

POSCAR file:
```
MoCBr2
1.0
6.084 0.000 0.000
0.000 6.084 0.000
3.042 3.042 4.669
Br C Mo
4 2 2
direct
0.620 0.125 0.250 Br
0.130 0.625 0.250 Br
0.875 0.870 0.750 Br
0.375 0.380 0.750 Br
0.500 0.500 0.000 C
0.250 0.750 0.500 C
0.750 0.250 0.500 Mo
0.000 0.000 0.000 Mo
```


No. 19
VASP calculation (GGA-PBE) on a geometry-optimized CrTe2I structure.

Summary:
Space group = P1
Density of states at the Fermi level = 0.000 states/eV per cell
Formation energy (no corrections) = 0.015 eV per atom
Calculated volume = 317 Å³ per cell
ΔE to the lowest computed polymorph = 228 meV/atom

POSCAR file:
```
CrTe2I
1.0
6.450 -0.075 1.581
2.265 7.055 -0.289
1.289 -2.859 7.595
I Te Cr
2 4 2
direct
0.230 0.966 0.760 I
0.630 0.299 0.445 I
0.939 0.538 0.720 Te
0.914 0.637 0.206 Te
0.163 0.881 0.249 Te
0.575 0.469 0.983 Te
0.277 0.470 0.820 Cr
0.078 0.757 0.937 Cr
```


No. 20
VASP calculation (GGA-PBE) on a geometry-optimized Tl3Cu2GeCl6 structure.

Summary:
Space group = P-3m1
Density of states at the Fermi level = 5.520 states/eV per cell
Formation energy (no corrections) = -0.571 eV per atom
Calculated volume = 401 Å³ per cell

POSCAR file:
```
Tl3Cu2GeCl6
1.0
7.488 0.000 0.000
-3.744 6.485 0.000
0.000 0.000 8.257
Cl Ge Tl Cu
6 1 3 2
direct
0.673 0.837 0.299 Cl
0.837 0.163 0.701 Cl
0.327 0.163 0.701 Cl
0.837 0.673 0.701 Cl
0.163 0.837 0.299 Cl
0.163 0.327 0.299 Cl
0.000 0.000 0.500 Ge
0.333 0.667 0.695 Tl
0.667 0.333 0.305 Tl
0.000 0.000 0.000 Tl
0.667 0.333 0.642 Cu
0.333 0.667 0.358 Cu
```